[1]
Computed, not measured: a geometry-optimized ReMoRh2 structure at the PBE level of DFT.

Cell: 3.2500 3.2500 5.6657 Å, 90.00 90.00 90.00°
Positions (direct):
Re1 0.0000 0.0000 0.0000
Mo1 0.5000 0.5000 0.7365
Rh1 0.0000 0.0000 0.4965
Rh2 0.5000 0.5000 0.2388

Computed properties:
Crystal system: tetragonal
E_form, eV per atom: 0.114
Total DFT energy (no corrections), eV per atom: -9.3815
Magnetic moment, μB per cell: 0.0
SG: No. 99

***

[2]
Computed, not measured: a geometry-optimized ReMoRh3 structure at the PBE level of DFT.

Cell: 6.4096 6.4096 6.4096 Å, 135.59 113.33 83.66°
Positions (direct):
Re1 0.2662 0.0162 0.2500
Re2 0.7338 0.9838 0.7500
Mo1 0.0000 0.5000 0.5000
Mo2 0.5000 0.5000 0.0000
Rh1 0.1318 0.1944 0.9373
Rh2 0.2429 0.8056 0.4373
Rh3 0.5000 0.0000 0.0000
Rh4 0.5000 0.5000 0.5000
Rh5 0.7571 0.1944 0.5627
Rh6 0.8682 0.8056 0.0627

Computed properties:
Crystal system: orthorhombic
E_form, eV per atom: 0.593
Total DFT energy (no corrections), eV per atom: -8.4742
Magnetic moment, μB per cell: 0.0
SG: No. 74

***

[3]
Computed, not measured: a geometry-optimized ReMoRh3 structure at the PBE level of DFT.

Cell: 4.6714 4.6714 4.6714 Å, 90.00 90.00 90.00°
Positions (direct):
Re1 0.0000 0.0000 0.0000
Mo1 0.5000 0.5000 0.5000
Rh1 0.0000 0.0000 0.5000
Rh2 0.0000 0.5000 0.0000
Rh3 0.5000 0.0000 0.0000

Computed properties:
Crystal system: cubic
E_form, eV per atom: 1.539
Total DFT energy (no corrections), eV per atom: -7.5282
Magnetic moment, μB per cell: 3.9
SG: No. 221

***

[4]
Computed, not measured: a geometry-optimized ReMoRh2 structure at the PBE level of DFT.

Cell: 2.7366 2.7366 7.9235 Å, 90.00 90.00 90.00°
Positions (direct):
Re1 0.0000 0.0000 0.0000
Mo1 0.5000 0.5000 0.7273
Rh1 0.0000 0.0000 0.4931
Rh2 0.5000 0.5000 0.2300

Computed properties:
Crystal system: tetragonal
E_form, eV per atom: -0.091
Total DFT energy (no corrections), eV per atom: -9.5868
Magnetic moment, μB per cell: 0.0
SG: No. 99

***

[5]
Computed, not measured: a geometry-optimized ReMo5Rh6 structure at the PBE level of DFT.

Cell: 7.2834 7.2834 7.2834 Å, 149.11 114.73 73.95°
Positions (direct):
Re1 0.0000 0.0000 0.0000
Mo1 0.1648 0.6648 0.5000
Mo2 0.3343 0.3343 0.0000
Mo3 0.5000 0.0000 0.5000
Mo4 0.6657 0.6657 0.0000
Mo5 0.8352 0.3352 0.5000
Rh1 0.0828 0.8339 0.2489
Rh2 0.2480 0.5000 0.7480
Rh3 0.4150 0.1661 0.2489
Rh4 0.5850 0.8339 0.7511
Rh5 0.7520 0.5000 0.2520
Rh6 0.9172 0.1661 0.7511

Computed properties:
Crystal system: orthorhombic
E_form, eV per atom: -0.171
Total DFT energy (no corrections), eV per atom: -9.3973
Magnetic moment, μB per cell: 0.0
SG: No. 71

***

[6]
Computed, not measured: a geometry-optimized ReMoRh2 structure at the PBE level of DFT.

Cell: 3.8449 3.8449 7.9266 Å, 90.00 90.00 90.00°
Positions (direct):
Re1 0.0000 0.0000 0.0000
Re2 0.5000 0.5000 0.5000
Mo1 0.0000 0.0000 0.5000
Mo2 0.5000 0.5000 0.0000
Rh1 0.0000 0.5000 0.2500
Rh2 0.0000 0.5000 0.7500
Rh3 0.5000 0.0000 0.2500
Rh4 0.5000 0.0000 0.7500

Computed properties:
Crystal system: tetragonal
E_form, eV per atom: -0.128
Total DFT energy (no corrections), eV per atom: -9.6234
Magnetic moment, μB per cell: 0.0
SG: No. 139

***

[7]
Computed, not measured: a geometry-optimized ReMoRh4 structure at the PBE level of DFT.

Cell: 11.8566 2.7516 5.5084 Å, 90.00 103.48 90.00°
Positions (direct):
Re1 0.0000 0.0000 0.0000
Re2 0.5000 0.5000 0.0000
Mo1 0.0000 0.0000 0.5000
Mo2 0.5000 0.5000 0.5000
Rh1 0.1611 0.5000 0.8313
Rh2 0.1621 0.5000 0.3300
Rh3 0.3379 0.0000 0.6700
Rh4 0.3389 0.0000 0.1687
Rh5 0.6611 0.0000 0.8313
Rh6 0.6621 0.0000 0.3300
Rh7 0.8379 0.5000 0.6700
Rh8 0.8389 0.5000 0.1687

Computed properties:
Crystal system: monoclinic
E_form, eV per atom: -0.145
Total DFT energy (no corrections), eV per atom: -8.9257
Magnetic moment, μB per cell: 0.0
SG: No. 12

***

[8]
Computed, not measured: a geometry-optimized ReMoRh2 structure at the PBE level of DFT.

Cell: 9.1872 2.7490 4.7425 Å, 90.00 99.96 90.00°
Positions (direct):
Re1 0.0000 0.0000 0.0000
Re2 0.5000 0.5000 0.0000
Mo1 0.0000 0.5000 0.5000
Mo2 0.5000 0.0000 0.5000
Rh1 0.2483 0.5000 0.2469
Rh2 0.2517 0.0000 0.7531
Rh3 0.7483 0.0000 0.2469
Rh4 0.7517 0.5000 0.7531

Computed properties:
Crystal system: monoclinic
E_form, eV per atom: -0.034
Total DFT energy (no corrections), eV per atom: -9.5292
Magnetic moment, μB per cell: 0.0
SG: No. 12

***

[9]
Computed, not measured: a geometry-optimized ReMoRh2 structure at the PBE level of DFT.

Cell: 6.9512 6.9512 5.3544 Å, 90.00 90.00 90.00°
Positions (direct):
Re1 0.0000 0.0000 0.0000
Re2 0.0000 0.5000 0.2500
Re3 0.5000 0.0000 0.7500
Re4 0.5000 0.5000 0.5000
Mo1 0.0000 0.0000 0.5000
Mo2 0.0000 0.5000 0.7500
Mo3 0.5000 0.0000 0.2500
Mo4 0.5000 0.5000 0.0000
Rh1 0.2416 0.2500 0.1250
Rh2 0.2500 0.7416 0.3750
Rh3 0.2500 0.7584 0.8750
Rh4 0.2584 0.2500 0.6250
Rh5 0.7416 0.7500 0.6250
Rh6 0.7500 0.2416 0.8750
Rh7 0.7500 0.2584 0.3750
Rh8 0.7584 0.7500 0.1250

Computed properties:
Crystal system: tetragonal
E_form, eV per atom: 0.618
Total DFT energy (no corrections), eV per atom: -8.8774
Magnetic moment, μB per cell: 0.0
SG: No. 122

***

[10]
Computed, not measured: a geometry-optimized ReMoRh5 structure at the PBE level of DFT.

Cell: 5.2512 5.2512 9.1279 Å, 107.73 107.73 68.45°
Positions (direct):
Re1 0.0000 0.5000 0.0000
Re2 0.5000 0.0000 0.5000
Mo1 0.0758 0.9242 0.7500
Mo2 0.9242 0.0758 0.2500
Rh1 0.1581 0.3526 0.7326
Rh2 0.2407 0.5955 0.5213
Rh3 0.3497 0.6503 0.2500
Rh4 0.3526 0.1581 0.2326
Rh5 0.4045 0.7593 0.9787
Rh6 0.5955 0.2407 0.0213
Rh7 0.6474 0.8419 0.7674
Rh8 0.6503 0.3497 0.7500
Rh9 0.7593 0.4045 0.4787
Rh10 0.8419 0.6474 0.2674

Computed properties:
Crystal system: monoclinic
E_form, eV per atom: 0.276
Total DFT energy (no corrections), eV per atom: -8.3007
Magnetic moment, μB per cell: 0.0
SG: No. 15

***

[11]
Computed, not measured: a geometry-optimized ReMoRh2 structure at the PBE level of DFT.

Cell: 2.7365 4.4141 4.8320 Å, 90.00 90.00 90.00°
Positions (direct):
Re1 0.0000 0.0000 0.0000
Mo1 0.0000 0.5000 0.3328
Rh1 0.5000 0.0000 0.5005
Rh2 0.5000 0.5000 0.8387

Computed properties:
Crystal system: orthorhombic
E_form, eV per atom: -0.209
Total DFT energy (no corrections), eV per atom: -9.7046
Magnetic moment, μB per cell: 0.0
SG: No. 25

***

[12]
Computed, not measured: a geometry-optimized Re2MoRhSe structure at the PBE level of DFT.

Cell: 4.4941 4.4941 4.5317 Å, 90.00 90.00 90.00°
Positions (direct):
Re1 0.0000 0.5000 0.0000
Re2 0.5000 0.0000 0.0000
Mo1 0.0000 0.0000 0.5000
Rh1 0.5000 0.5000 0.5000
Se1 0.0000 0.0000 0.0000

Computed properties:
Crystal system: tetragonal
Total DFT energy (no corrections), eV per atom: -7.7111
Magnetic moment, μB per cell: 0.0
SG: No. 123